# 1
A relaxed structure of Hf2VZn. Source: Alexandria via LeMat-Bulk, functional PBE.

The formation energy is 58.5 kJ per mole of atoms. As for the calculated total energy: -6.968 eV/atom. The space-group type is No. 122.

abc: 10.0689 10.0689 10.0689
angles: 157.00 157.00 32.75
Sites, in units of the cell vectors:
Hf  0.1202  0.6250  0.9952
Hf  0.3750  0.3702  0.4952
Hf  0.6298  0.1250  0.0048
Hf  0.8750  0.8798  0.5048
V  0.0000  0.0000  0.0000
V  0.7500  0.2500  0.5000
Zn  0.2500  0.7500  0.5000
Zn  0.5000  0.5000  0.0000

---

# 2
A relaxed structure of HfVZn2. Source: Alexandria via LeMat-Bulk, functional PBE.

The formation energy is -2.9 kJ per mole of atoms. As for the calculated total energy: -5.435 eV/atom. The space-group type is No. 123.

abc: 4.0083 4.0083 3.9729
angles: 90.00 90.00 90.00
Sites, in units of the cell vectors:
Hf  0.0000  0.0000  0.0000
V  0.5000  0.5000  0.0000
Zn  0.0000  0.5000  0.5000
Zn  0.5000  0.0000  0.5000

---

# 3
A relaxed structure of HfVZn2. Source: Alexandria via LeMat-Bulk, functional PBE.

The formation energy is 32.7 kJ per mole of atoms. As for the calculated total energy: -5.066 eV/atom. The space-group type is No. 122.

abc: 5.7416 5.7416 5.7416
angles: 101.76 101.76 126.33
Sites, in units of the cell vectors:
Hf  0.0000  0.0000  0.0000
Hf  0.7500  0.2500  0.5000
V  0.2500  0.7500  0.5000
V  0.5000  0.5000  0.0000
Zn  0.1496  0.1250  0.5246
Zn  0.3750  0.8504  0.9754
Zn  0.6004  0.6250  0.4754
Zn  0.8750  0.3996  0.0246

---

# 4
A relaxed structure of HfVZn2. Source: Alexandria via LeMat-Bulk, functional PBE.

The formation energy is 1.0 kJ per mole of atoms. As for the calculated total energy: -5.394 eV/atom. The space-group type is No. 123.

abc: 3.2615 3.2615 6.0428
angles: 90.00 90.00 90.00
Sites, in units of the cell vectors:
Hf  0.0000  0.0000  0.0000
V  0.0000  0.0000  0.5000
Zn  0.5000  0.5000  0.2789
Zn  0.5000  0.5000  0.7211

---

# 5
A relaxed structure of HfV3Zn. Source: Alexandria via LeMat-Bulk, functional PBE.

The formation energy is 106.2 kJ per mole of atoms. As for the calculated total energy: -6.616 eV/atom. The space-group type is No. 221.

abc: 4.4953 4.4953 4.4953
angles: 90.00 90.00 90.00
Sites, in units of the cell vectors:
Hf  0.0000  0.0000  0.0000
V  0.0000  0.5000  0.5000
V  0.5000  0.0000  0.5000
V  0.5000  0.5000  0.0000
Zn  0.5000  0.5000  0.5000

---

# 6
A relaxed structure of Hf2ZrV. Source: Alexandria via LeMat-Bulk, functional PBE.

The formation energy is 18.4 kJ per mole of atoms. As for the calculated total energy: -9.203 eV/atom. The space-group type is No. 225.

abc: 4.8778 4.8778 4.8778
angles: 60.00 60.00 60.00
Sites, in units of the cell vectors:
Hf  0.2500  0.2500  0.2500
Hf  0.7500  0.7500  0.7500
Zr  0.0000  0.0000  0.0000
V  0.5000  0.5000  0.5000